Computed, not measured: a relaxed structure of Y2FeSi4 at the GGA-PBE level of DFT.

Values from the calculation:
Formation energy from raw total energies (eV per atom): -0.178
DOS(E_F) (states/eV per cell): 7.47

Lattice parameters (Å, degrees): 6.9549 6.9549 5.4511 90.00 90.00 90.00
Last column: nearest neighbours and their distance in Å.
Fractional positions:
Si  0.0801  0.6669  0.5000  1 Fe 2.38, 2 Si 2.49-2.58
Si  0.1669  0.4199  0.0000  1 Fe 2.38, 2 Si 2.49-2.58
Si  0.3331  0.9199  0.5000  1 Fe 2.38, 2 Si 2.49-2.58
Fe  0.5000  0.5000  0.0000  4 Si 2.38
Si  0.6669  0.0801  0.5000  1 Fe 2.38, 2 Si 2.49-2.58
Si  0.9199  0.3331  0.5000  1 Fe 2.38, 2 Si 2.49-2.58
Y  0.6737  0.6737  0.5000  8 Si 2.83-3.01
Y  0.1737  0.8263  0.0000  8 Si 2.83-3.01
Si  0.5801  0.8331  0.0000  1 Fe 2.38, 2 Si 2.49-2.58
Si  0.4199  0.1669  0.0000  1 Fe 2.38, 2 Si 2.49-2.58
Fe  0.0000  0.0000  0.5000  4 Si 2.38
Si  0.8331  0.5801  0.0000  1 Fe 2.38, 2 Si 2.49-2.58
Y  0.3263  0.3263  0.5000  8 Si 2.83-3.01
Y  0.8263  0.1737  0.0000  8 Si 2.83-3.01

Computed, not measured: a relaxed structure of YFeSi2 at the GGA-PBE level of DFT.

Values from the calculation:
Formation energy from raw total energies (eV per atom): -0.215
DOS(E_F) (states/eV per cell): 5.13

Lattice parameters (Å, degrees): 6.0338 6.0338 6.0338 145.83 144.46 50.12
Last column: nearest neighbours and their distance in Å.
Fractional positions:
Si  0.9148  0.9148  0.0000  2 Fe 2.34, 2 Si 2.42
Y  0.5384  0.5384  0.0000  6 Si 2.89-3.04
Fe  0.2825  0.7825  0.5000  6 Si 2.34-2.56
Si  0.7643  0.2643  0.5000  2 Si 2.42, 4 Fe 2.56

Computed, not measured: a relaxed structure of YFeSi2 at the GGA-PBE level of DFT.

Values from the calculation:
Formation energy from raw total energies (eV per atom): -0.125
DOS(E_F) (states/eV per cell): 3.51

Lattice parameters (Å, degrees): 4.0487 4.0706 4.0706 90.00 90.00 90.00
Last column: nearest neighbours and their distance in Å.
Fractional positions:
Si  0.0000  0.0000  0.0000  4 Y 2.87, 4 Fe 2.87, 4 Si 2.88
Si  0.0000  0.5000  0.5000  4 Fe 2.87, 4 Y 2.87, 4 Si 2.88
Y  0.5000  0.5000  0.0000  8 Si 2.87, 4 Fe 2.88
Fe  0.5000  0.0000  0.5000  8 Si 2.87, 4 Y 2.88

Computed, not measured: a relaxed structure of YFeSi2 at the GGA-PBE level of DFT.

Values from the calculation:
Formation energy from raw total energies (eV per atom): 0.000
DOS(E_F) (states/eV per cell): 1.63

Lattice parameters (Å, degrees): 4.5202 4.5202 4.5202 60.00 60.00 60.00
Last column: nearest neighbours and their distance in Å.
Fractional positions:
Fe  0.0000  0.0000  0.0000  8 Si 2.77
Si  0.7500  0.7500  0.7500  4 Fe 2.77, 4 Y 2.77
Y  0.5000  0.5000  0.5000  8 Si 2.77
Si  0.2500  0.2500  0.2500  4 Fe 2.77, 4 Y 2.77

Computed, not measured: a relaxed structure of YFeSi at the GGA-PBE level of DFT.

Values from the calculation:
Formation energy from raw total energies (eV per atom): 0.717
DOS(E_F) (states/eV per cell): 8.54

Lattice parameters (Å, degrees): 4.6204 4.6204 4.6204 60.00 60.00 60.00
Last column: nearest neighbours and their distance in Å.
Fractional positions:
Si  0.5000  0.5000  0.5000  4 Y 2.83
Fe  0.0000  0.0000  0.0000  4 Y 2.83
Y  0.7500  0.7500  0.7500  4 Fe 2.83, 4 Si 2.83

Computed, not measured: a relaxed structure of YFeSi at the GGA-PBE level of DFT.

Values from the calculation:
Formation energy from raw total energies (eV per atom): -0.468
DOS(E_F) (states/eV per cell): 2.30

Lattice parameters (Å, degrees): 4.0481 4.0481 3.8657 90.00 90.00 120.00
Last column: nearest neighbours and their distance in Å.
Fractional positions:
Si  0.6667  0.3333  0.1667  3 Fe 2.34
Fe  0.0000  0.0000  0.1666  3 Si 2.34
Y  0.3333  0.6667  0.6667  6 Fe 3.03, 6 Si 3.03

What did the first record say?
Computed, not measured: a relaxed structure of Y2FeSi4 at the GGA-PBE level of DFT.

Values from the calculation:
Formation energy from raw total energies (eV per atom): -0.178
DOS(E_F) (states/eV per cell): 7.47

Lattice parameters (Å, degrees): 6.9549 6.9549 5.4511 90.00 90.00 90.00
Last column: nearest neighbours and their distance in Å.
Fractional positions:
Si  0.0801  0.6669  0.5000  1 Fe 2.38, 2 Si 2.49-2.58
Si  0.1669  0.4199  0.0000  1 Fe 2.38, 2 Si 2.49-2.58
Si  0.3331  0.9199  0.5000  1 Fe 2.38, 2 Si 2.49-2.58
Fe  0.5000  0.5000  0.0000  4 Si 2.38
Si  0.6669  0.0801  0.5000  1 Fe 2.38, 2 Si 2.49-2.58
Si  0.9199  0.3331  0.5000  1 Fe 2.38, 2 Si 2.49-2.58
Y  0.6737  0.6737  0.5000  8 Si 2.83-3.01
Y  0.1737  0.8263  0.0000  8 Si 2.83-3.01
Si  0.5801  0.8331  0.0000  1 Fe 2.38, 2 Si 2.49-2.58
Si  0.4199  0.1669  0.0000  1 Fe 2.38, 2 Si 2.49-2.58
Fe  0.0000  0.0000  0.5000  4 Si 2.38
Si  0.8331  0.5801  0.0000  1 Fe 2.38, 2 Si 2.49-2.58
Y  0.3263  0.3263  0.5000  8 Si 2.83-3.01
Y  0.8263  0.1737  0.0000  8 Si 2.83-3.01

Q: What is the formula in the sixth record?
A: YFeSi

Q: The lowest formation energy from raw total energies belongs to which entry?
A: number 6